Material: TbSmEuHg
Method: DFT, GGA-PBE
State: optimized geometry

Geometry as extended XYZ:
```
4
Lattice="5.5039 0.0000 0.0000 2.7520 4.7665 0.0000 2.7520 1.5888 4.4939" Properties=species:S:1:pos:R:3 pbc="T T T"
Sm 5.5039 3.1777 2.2470
Eu 8.2559 4.7665 3.3704
Hg 2.7520 1.5888 1.1235
Tb 0.0000 0.0000 0.0000
```

Calculated values
The crystal system is cubic. The formation energy is -0.055 eV per atom.